Record 1
Density functional theory data (PBE) for a geometry-optimized CrGaPd2 structure.

Properties
Formation enthalpy at 0 K: 0.233 eV per atom
Total energy: -5.53 eV/atom
Space group: I-42d, No. 122

a = 3.7792 Å, b = 3.7792 Å, c = 9.1363 Å
α = 78.06°, β = 78.06°, γ = 90.00°
Closest atoms and distances in Å follow each position.
Fractional coordinates of all 8 atoms:
Cr  0.5000  0.5000  0.0000  4 Pd 2.56, 4 Ga 2.67
Cr  0.2500  0.7500  0.5000  4 Pd 2.56, 4 Ga 2.67
Ga  0.0000  0.0000  0.0000  4 Pd 2.56, 4 Cr 2.67
Ga  0.7500  0.2500  0.5000  4 Pd 2.56, 4 Cr 2.67
Pd  0.6230  0.1250  0.2500  2 Cr 2.56, 2 Ga 2.56, 4 Pd 2.66-2.68
Pd  0.1270  0.6250  0.2500  2 Cr 2.56, 2 Ga 2.56, 4 Pd 2.66-2.68
Pd  0.3750  0.3770  0.7500  2 Cr 2.56, 2 Ga 2.56, 4 Pd 2.66-2.68
Pd  0.8750  0.8730  0.7500  2 Cr 2.56, 2 Ga 2.56, 4 Pd 2.66-2.68

***

Record 2
Density functional theory data (PBE) for a geometry-optimized Pr2Ho6ErTm3 structure.

Properties
Formation enthalpy at 0 K: 0.023 eV per atom
Total energy: -4.56 eV/atom
Space group: C2/m, No. 12

a = 6.1391 Å, b = 6.1391 Å, c = 11.7437 Å
α = 94.99°, β = 94.99°, γ = 119.96°
Closest atoms and distances in Å follow each position.
Fractional coordinates of all 12 atoms:
Pr  0.3334  0.6666  0.0000  3 Pr 3.54-3.55, 3 Er 3.54-3.55, 6 Ho 3.58-3.59
Pr  0.6666  0.3334  0.0000  3 Pr 3.54-3.55, 3 Er 3.54-3.55, 6 Ho 3.58-3.59
Ho  0.9146  0.5824  0.7455  3 Tm 3.50-3.51, 6 Ho 3.53-3.55, 1 Er 3.58, 2 Pr 3.58-3.59
Ho  0.7533  0.7533  0.2547  3 Tm 3.49-3.50, 6 Ho 3.53-3.55, 1 Er 3.58, 2 Pr 3.59
Ho  0.0854  0.4176  0.2545  3 Tm 3.50-3.51, 6 Ho 3.53-3.55, 1 Er 3.58, 2 Pr 3.58-3.59
Ho  0.5824  0.9146  0.7455  3 Tm 3.50-3.51, 6 Ho 3.53-3.55, 1 Er 3.58, 2 Pr 3.58-3.59
Ho  0.2467  0.2467  0.7453  3 Tm 3.49-3.50, 6 Ho 3.53-3.55, 1 Er 3.58, 2 Pr 3.59
Ho  0.4176  0.0854  0.2545  3 Tm 3.50-3.51, 6 Ho 3.53-3.55, 1 Er 3.58, 2 Pr 3.58-3.59
Er  0.0000  0.0000  0.0000  6 Pr 3.54-3.55, 6 Ho 3.58
Tm  0.1663  0.8337  0.5000  6 Ho 3.49-3.51, 6 Tm 3.54-3.55
Tm  0.8337  0.1663  0.5000  6 Ho 3.49-3.51, 6 Tm 3.54-3.55
Tm  0.5000  0.5000  0.5000  6 Ho 3.50, 6 Tm 3.54-3.55

***

Record 3
Density functional theory data (PBE) for a geometry-optimized HgAuBr2 structure.

Properties
Total energy: -1.38 eV/atom
ΔE to the lowest computed polymorph: 473.0 meV/atom
Space group: F-43m, No. 216
Formation energy from raw total energies: 0.35 eV/atom

a = 5.1687 Å, b = 5.1687 Å, c = 5.1687 Å
α = 60.00°, β = 60.00°, γ = 60.00°
Closest atoms and distances in Å follow each position.
Fractional coordinates of all 4 atoms:
Au  0.5000  0.5000  0.5000  4 Hg 3.17, 4 Br 3.17
Hg  0.2500  0.2500  0.2500  4 Br 3.17, 4 Au 3.17
Br  0.0000  0.0000  0.0000  4 Hg 3.17, 4 Br 3.17
Br  0.7500  0.7500  0.7500  4 Au 3.17, 4 Br 3.17

***

Record 4
Density functional theory data (PBE) for a geometry-optimized Ac14Hg6N3 structure.

Properties
Total energy: -4.18 eV/atom
Space group: P3, No. 143
Formation energy from raw total energies: -0.52 eV/atom

a = 6.6847 Å, b = 11.8146 Å, c = 11.8146 Å
α = 120.00°, β = 90.00°, γ = 90.00°
Closest atoms and distances in Å follow each position.
Fractional coordinates of all 23 atoms:
Ac  0.9551  0.0912  0.2276  1 N 2.44
Ac  0.9551  0.7724  0.8635  1 N 2.44
Ac  0.9551  0.1365  0.9088  1 N 2.44
Ac  0.4563  0.2382  0.4388  1 N 2.44
Ac  0.4563  0.5612  0.7994  1 N 2.44
Ac  0.4563  0.2006  0.7618  1 N 2.44
Ac  0.4770  0.0000  0.0000  1 N 2.51
Ac  0.9804  0.3333  0.6667  1 N 2.50
Ac  0.7112  0.7525  0.2033  1 N 2.66
Ac  0.7112  0.7967  0.5492  1 N 2.66
Ac  0.7112  0.4508  0.2475  1 N 2.66
Ac  0.2421  0.5813  0.4655  1 N 2.81
Ac  0.2421  0.5345  0.1158  1 N 2.81
Ac  0.2421  0.8842  0.4187  1 N 2.81
Hg  0.2607  0.8175  0.1098  7 Ac 3.33-3.64
Hg  0.2607  0.8902  0.7077  7 Ac 3.33-3.64
Hg  0.2607  0.2923  0.1825  7 Ac 3.33-3.64
Hg  0.7696  0.5142  0.5533  7 Ac 3.32-3.62
Hg  0.7696  0.4467  0.9609  7 Ac 3.32-3.62
Hg  0.7696  0.0391  0.4858  7 Ac 3.32-3.62
N  0.8522  0.0000  0.0000  4 Ac 2.44-2.51
N  0.3539  0.3333  0.6667  4 Ac 2.44-2.50
N  0.4943  0.6667  0.3333  6 Ac 2.66-2.81